Entry 1:
# TlB2Pb2O6

TlB2Pb2O6 after structural relaxation (GGA-PBE, Alexandria via LeMat-Bulk).

Magnetic moment: 0.0 μB per cell
Fermi-level density of states: 0.105 states/eV per atom
Theoretical density: 6919 kg/m3
V: 176.7 Å³ per cell
ΔE_f (raw): -1.59 eV per atom

Structure (POSCAR):
```
TlB2Pb2O6
1.0
-2.997 3.238 5.398
1.574 -0.131 6.420
1.881 4.410 -2.974
O B Tl Pb
6 2 1 2
Direct
0.100 0.257 0.083
0.901 0.900 0.599
0.287 0.514 0.660
0.713 0.486 0.340
0.900 0.743 0.917
0.099 0.100 0.401
0.974 0.281 0.266
0.026 0.719 0.734
0.500 0.000 0.500
0.222 0.578 0.215
0.778 0.422 0.785
```

---

Entry 2:
# UBPb2O6

UBPb2O6 after structural relaxation (GGA-PBE, Alexandria via LeMat-Bulk).

Magnetic moment: 1.0 μB per cell
Theoretical density: 5310 kg/m3
V: 237.4 Å³ per cell
ΔE_f (raw): -2.08 eV per atom

Structure (POSCAR):
```
UBPb2O6
1.0
11.108 0.071 -1.403
-0.032 6.070 0.022
4.876 3.069 2.914
U O Pb B
1 6 2 1
Direct
0.500 0.500 0.000
0.440 0.351 0.835
0.560 0.649 0.165
0.562 0.187 0.162
0.438 0.813 0.838
0.831 0.830 0.348
0.169 0.170 0.652
0.350 0.679 0.642
0.650 0.321 0.358
0.000 0.000 0.000
```

---

Entry 3:
# UBPbO5

UBPbO5 after structural relaxation (GGA-PBE, Alexandria via LeMat-Bulk).

Magnetic moment: 2.0 μB per cell
Fermi-level density of states: 0.021 states/eV per atom
Theoretical density: 7935 kg/m3
V: 224.3 Å³ per cell
ΔE_f (raw): -2.35 eV per atom

Structure (POSCAR):
```
UBPbO5
1.0
5.706 0.074 -0.083
-1.595 5.479 -0.083
-1.811 -2.446 7.223
Pb O U B
2 10 2 2
Direct
0.350 0.650 0.250
0.650 0.350 0.750
0.866 0.297 0.136
0.297 0.866 0.636
0.414 0.238 0.120
0.134 0.703 0.864
0.586 0.762 0.880
0.703 0.134 0.364
0.920 0.080 0.750
0.238 0.414 0.620
0.762 0.586 0.380
0.080 0.920 0.250
0.000 0.000 0.000
0.000 0.000 0.500
0.313 0.687 0.750
0.687 0.313 0.250
```